(1)
Material: NaLi3H8N4
Method: DFT, GGA-PBEsol
State: relaxed

Crystal system: tetragonal
Magnetic moment: 0.00 μB/f.u.
Energy: -4.75 eV per atom
D(E_F): 0.000 states/eV per atom
Space group: I-4

Lattice parameters (Å, degrees): 4.9540 4.9540 6.7152 111.65 111.65 90.00
Last column: nearest neighbours and their distance in Å.
Positions (direct):
H: 0.3209 0.5652 0.7791  1 N 1.03
H: 0.0756 0.9210 0.3385  1 N 1.03
H: 0.7862 0.6791 0.2209  1 N 1.03
H: 0.4582 0.2138 0.7791  1 N 1.03
H: 0.5825 0.9244 0.6615  1 N 1.03
H: 0.2630 0.4175 0.3385  1 N 1.03
H: 0.4348 0.5418 0.2209  1 N 1.03
H: 0.0790 0.7370 0.6615  1 N 1.03
N: 0.1433 0.6651 0.7959  2 H 1.03
N: 0.8692 0.8567 0.2041  2 H 1.03
N: 0.6526 0.1308 0.7959  2 H 1.03
N: 0.3349 0.3474 0.2041  2 H 1.03
Li: 0.0000 0.0000 0.0000  4 N 2.04
Li: 0.9873 0.4873 0.9745  4 N 2.07-2.16, 2 H 2.17
Li: 0.5127 0.0127 0.0255  4 N 2.07-2.16, 2 H 2.17
Na: 0.7500 0.2500 0.5000  4 N 2.47, 4 H 2.53, 2 Li 2.72


(2)
Material: PtPb2
Method: DFT, GGA-PBEsol
State: relaxed

Crystal system: orthorhombic
Energy relative to the elements: -0.1056 eV per atom
Magnetic moment: 0.00 μB/f.u.
D(E_F): 0.524 states/eV per atom
Space group: Pnnm

Lattice parameters (Å, degrees): 3.6330 6.3819 6.5634 90.00 90.00 90.00
Last column: nearest neighbours and their distance in Å.
Positions (direct):
Pb: 0.5000 0.7053 0.1325  3 Pt 2.75-2.76
Pb: 0.5000 0.2947 0.8675  3 Pt 2.75-2.76
Pb: 0.0000 0.2053 0.3675  3 Pt 2.75-2.76
Pb: 0.0000 0.7947 0.6325  3 Pt 2.75-2.76
Pt: 0.0000 0.0000 0.0000  6 Pb 2.75-2.76
Pt: 0.5000 0.5000 0.5000  6 Pb 2.75-2.76


(3)
Material: TaIn2Cl
Method: DFT, GGA-PBEsol
State: relaxed

Crystal system: orthorhombic
Magnetic moment: 0.00 μB/f.u.
D(E_F): 0.528 states/eV per atom
Space group: Cmm2
Formation energy (no corrections): -8.0 kJ/mol of atoms

Lattice parameters (Å, degrees): 3.0709 3.1506 10.4999 90.00 90.00 119.17
Last column: nearest neighbours and their distance in Å.
Positions (direct):
Ta: 0.0000 0.0000 0.5131  2 Cl 2.46
Cl: 0.5000 0.0000 0.6961  2 Ta 2.46
In: 0.5000 0.0000 0.2773  2 Ta 2.91, 8 In 3.07-3.17
In: 0.0000 0.0000 0.0136  8 In 3.07-3.17


(4)
Material: BaLi2As
Method: DFT, GGA-PBEsol
State: relaxed

Crystal system: orthorhombic
Energy relative to the elements: -0.4073 eV per atom
Magnetic moment: 0.00 μB/f.u.
D(E_F): 0.390 states/eV per atom
Space group: Pmm2

Lattice parameters (Å, degrees): 3.4412 4.0671 7.5301 90.00 90.00 90.00
Last column: nearest neighbours and their distance in Å.
Positions (direct):
Li: 0.5000 0.5000 0.7178  4 As 2.89, 4 Li 3.02, 1 Ba 3.09
Li: 0.0000 0.0000 0.9072  1 As 2.55
Ba: 0.5000 0.5000 0.3069  1 Li 3.09, 4 As 3.31, 2 Ba 3.44
As: 0.0000 0.0000 0.5680  1 Li 2.55


Question: What is the formula in the fourth record?
Answer: BaLi2As